# LaUN (PBE, optimized geometry)
# Excess energy over the best structure of this formula in the dataset ... 0.000 eV/atom
# Formation energy without anion corrections ... -0.596 eV per atom
# DOS at the Fermi energy ... 1.690 states/eV/atom
data_LaUN
_chemical_formula_sum 'La2 U2 N2'
_symmetry_space_group_name_H-M 'P 4/n m m'
_symmetry_Int_Tables_number 129
_cell_length_a 3.898
_cell_length_b 3.898
_cell_length_c 9.951
_cell_angle_alpha 90.00
_cell_angle_beta 90.00
_cell_angle_gamma 90.00
loop_
_symmetry_equiv_pos_as_xyz
'x,y,z'
'-x,-y,-z'
'-y+1/2,x,z'
'y+1/2,-x,-z'
'-x+1/2,-y+1/2,z'
'x+1/2,y+1/2,-z'
'y,-x+1/2,z'
'-y,x+1/2,-z'
'x+1/2,-y,-z'
'-x+1/2,y,z'
'-y,-x,-z'
'y,x,z'
'-x,y+1/2,-z'
'x,-y+1/2,z'
'y+1/2,x+1/2,-z'
'-y+1/2,-x+1/2,z'
loop_
_atom_site_label
_atom_site_type_symbol
_atom_site_fract_x
_atom_site_fract_y
_atom_site_fract_z
_atom_site_occupancy
La1 La 0.250 0.250 0.123 1
U1 U 0.250 0.250 0.612 1
N1 N 0.250 0.750 0.500 1

# Tb2Be3Cu12Pt (PBE, optimized geometry)
# DOS at the Fermi energy ... 0.440 states/eV/atom
# Uncorrected energy ... -3.8837 eV per atom
data_Tb2Be3Cu12Pt
_chemical_formula_sum 'Tb6 Be9 Cu36 Pt3'
_symmetry_space_group_name_H-M 'R -3 m'
_symmetry_Int_Tables_number 166
_symmetry_space_group_name_Hall '-R 3 2"'
_cell_length_a 7.5691
_cell_length_b 7.5691
_cell_length_c 17.3913
_cell_angle_alpha 90.00
_cell_angle_beta 90.00
_cell_angle_gamma 120.00
loop_
_atom_site_label
_atom_site_type_symbol
_atom_site_fract_x
_atom_site_fract_y
_atom_site_fract_z
_atom_site_occupancy
Tb1 Tb 0.0000 0.0000 0.1008 1
Be1 Be 0.0000 0.5000 0.0000 1
Cu1 Cu 0.0222 0.5111 0.8794 1
Cu2 Cu 0.0391 0.5196 0.3541 1
Pt1 Pt 0.0000 0.0000 0.5000 1

# CsGaTe (PBE, optimized geometry)
# Excess energy over the best structure of this formula in the dataset ... 0.048 eV/atom
# Formation energy without anion corrections ... -0.573 eV per atom
data_CsGaTe
_chemical_formula_sum 'Cs4 Ga4 Te4'
_symmetry_space_group_name_H-M 'C 1 m 1'
_symmetry_Int_Tables_number 8
_symmetry_space_group_name_Hall 'C -2y'
_cell_length_a 13.541
_cell_length_b 4.806
_cell_length_c 8.898
_cell_angle_alpha 90.00
_cell_angle_beta 108.33
_cell_angle_gamma 90.00
loop_
_atom_site_label
_atom_site_type_symbol
_atom_site_fract_x
_atom_site_fract_y
_atom_site_fract_z
_atom_site_occupancy
Cs1 Cs 0.000 0.000 0.000 1
Cs2 Cs 0.122 0.000 0.492 1
Ga1 Ga 0.233 0.500 0.203 1
Ga2 Ga 0.300 0.000 0.915 1
Te1 Te 0.165 0.500 0.852 1
Te2 Te 0.370 0.000 0.260 1

# Er5TmHg3 (PBE, optimized geometry)
# DOS at the Fermi energy ... 0.332 states/eV/atom
# Uncorrected energy ... -3.4509 eV per atom
data_Er5TmHg3
_chemical_formula_sum 'Er10 Tm2 Hg6'
_symmetry_space_group_name_H-M 'P 63/m c m'
_symmetry_Int_Tables_number 193
_symmetry_space_group_name_Hall '-P 6c 2'
_cell_length_a 8.9956
_cell_length_b 8.9956
_cell_length_c 6.8301
_cell_angle_alpha 90.00
_cell_angle_beta 90.00
_cell_angle_gamma 120.00
loop_
_atom_site_label
_atom_site_type_symbol
_atom_site_fract_x
_atom_site_fract_y
_atom_site_fract_z
_atom_site_occupancy
Er1 Er 0.0000 0.3328 0.2500 1
Er2 Er 0.3333 0.6667 0.0000 1
Tm1 Tm 0.0000 0.0000 0.0000 1
Hg1 Hg 0.0000 0.3337 0.7500 1

# ThNiSn2 (PBE, optimized geometry)
# DOS at the Fermi energy ... 0.767 states/eV/atom
# Uncorrected energy ... -5.2008 eV per atom
data_ThNiSn2
_chemical_formula_sum 'Th3 Ni3 Sn6'
_symmetry_space_group_name_H-M 'R -3 m'
_symmetry_Int_Tables_number 166
_symmetry_space_group_name_Hall '-R 3 2"'
_cell_length_a 3.3398
_cell_length_b 3.3398
_cell_length_c 30.8758
_cell_angle_alpha 90.00
_cell_angle_beta 90.00
_cell_angle_gamma 120.00
loop_
_atom_site_label
_atom_site_type_symbol
_atom_site_fract_x
_atom_site_fract_y
_atom_site_fract_z
_atom_site_occupancy
Th1 Th 0.0000 0.0000 0.0000 1
Ni1 Ni 0.0000 0.0000 0.5000 1
Sn1 Sn 0.0000 0.0000 0.1072 1